Below is an optimized crystal structure of Zr2TlP, with properties calculated at the PBE-GGA level.

Unit cell a=6.297 b=3.622 c=7.938 alpha=90.00 beta=105.25 gamma=90.00
Element x y z (fractional)
Zr 0.231 0.000 0.191
Zr 0.269 0.500 0.809
Zr 0.731 0.500 0.191
Zr 0.769 0.000 0.809
Tl 0.000 0.000 0.500
Tl 0.500 0.500 0.500
P 0.000 0.500 0.000
P 0.500 0.000 0.000

Results
Total moment   0.00 μB per atom
Distance to the lowest polymorph of the same formula   0.00 eV/f.u.
Formation enthalpy at 0 K   -75.6 kJ per mole of atoms
Electronic total energy   -56.0 eV for the cell shown


Below is an optimized crystal structure of Zr2TlP, with properties calculated at the PBE-GGA level.

Unit cell a=6.119 b=7.535 c=3.536 alpha=90.00 beta=90.00 gamma=90.00
Element x y z (fractional)
Zr 0.250 0.250 0.000
Zr 0.250 0.750 0.000
Zr 0.750 0.250 0.000
Zr 0.750 0.750 0.000
Tl 0.000 0.000 0.500
Tl 0.500 0.500 0.500
P 0.000 0.500 0.500
P 0.500 0.000 0.500

Results
Total moment   0.00 μB per atom
Distance to the lowest polymorph of the same formula   2.02 eV/f.u.
Formation enthalpy at 0 K   -26.8 kJ per mole of atoms
Electronic total energy   -52.0 eV for the cell shown


Below is an optimized crystal structure of Zr2TlP, with properties calculated at the PBE-GGA level.

Unit cell a=3.558 b=3.558 c=7.455 alpha=90.00 beta=90.00 gamma=90.00
Element x y z (fractional)
Zr 0.000 0.000 0.000
Zr 0.500 0.500 0.274
Tl 0.500 0.500 0.742
P 0.000 0.000 0.362

Results
Total moment   0.00 μB per atom
Distance to the lowest polymorph of the same formula   1.53 eV/f.u.
Formation enthalpy at 0 K   -38.6 kJ per mole of atoms
Electronic total energy   -26.5 eV for the cell shown


Below is an optimized crystal structure of Zr2TlP, with properties calculated at the PBE-GGA level.

Unit cell a=7.466 b=7.466 c=6.250 alpha=90.00 beta=90.00 gamma=90.00
Element x y z (fractional)
Zr 0.214 0.250 0.125
Zr 0.250 0.714 0.375
Zr 0.250 0.786 0.875
Zr 0.286 0.250 0.625
Zr 0.714 0.750 0.625
Zr 0.750 0.214 0.875
Zr 0.750 0.286 0.375
Zr 0.786 0.750 0.125
Tl 0.000 0.000 0.500
Tl 0.000 0.500 0.750
Tl 0.500 0.000 0.250
Tl 0.500 0.500 0.000
P 0.000 0.000 0.000
P 0.000 0.500 0.250
P 0.500 0.000 0.750
P 0.500 0.500 0.500

Results
Total moment   0.00 μB per atom
Distance to the lowest polymorph of the same formula   1.52 eV/f.u.
Formation enthalpy at 0 K   -39.0 kJ per mole of atoms
Electronic total energy   -106.0 eV for the cell shown


Below is an optimized crystal structure of Zr2TlP, with properties calculated at the PBE-GGA level.

Unit cell a=3.456 b=3.511 c=14.804 alpha=90.00 beta=90.00 gamma=90.00
Element x y z (fractional)
Zr 0.000 0.000 0.000
Zr 0.000 0.500 0.304
Zr 0.500 0.000 0.804
Zr 0.500 0.500 0.500
Tl 0.000 0.500 0.670
Tl 0.500 0.000 0.170
P 0.000 0.000 0.434
P 0.500 0.500 0.934

Results
Total moment   0.00 μB per atom
Distance to the lowest polymorph of the same formula   0.86 eV/f.u.
Formation enthalpy at 0 K   -54.8 kJ per mole of atoms
Electronic total energy   -54.3 eV for the cell shown


Below is an optimized crystal structure of Zr2TlP, with properties calculated at the PBE-GGA level.

Unit cell a=4.101 b=4.101 c=9.785 alpha=90.00 beta=90.00 gamma=90.00
Element x y z (fractional)
Zr 0.000 0.000 0.000
Zr 0.000 0.500 0.250
Zr 0.500 0.000 0.750
Zr 0.500 0.500 0.500
Tl 0.000 0.000 0.500
Tl 0.500 0.500 0.000
P 0.000 0.500 0.750
P 0.500 0.000 0.250

Results
Total moment   0.00 μB per atom
Distance to the lowest polymorph of the same formula   2.19 eV/f.u.
Formation enthalpy at 0 K   -22.8 kJ per mole of atoms
Electronic total energy   -51.6 eV for the cell shown


Below is an optimized crystal structure of Zr2TlP, with properties calculated at the PBE-GGA level.

Unit cell a=3.979 b=3.979 c=5.600 alpha=90.00 beta=90.00 gamma=90.00
Element x y z (fractional)
Zr 0.000 0.000 0.000
Zr 0.500 0.500 0.500
Tl 0.000 0.000 0.500
P 0.500 0.500 0.000

Results
Total moment   0.00 μB per atom
Distance to the lowest polymorph of the same formula   1.44 eV/f.u.
Formation enthalpy at 0 K   -41.0 kJ per mole of atoms
Electronic total energy   -26.6 eV for the cell shown


Below is an optimized crystal structure of Zr2TlP, with properties calculated at the PBE-GGA level.

Unit cell a=3.563 b=3.563 c=25.246 alpha=90.00 beta=90.00 gamma=120.00
Element x y z (fractional)
Zr 0.000 0.000 0.000
Zr 0.000 0.000 0.241
Zr 0.333 0.667 0.667
Zr 0.333 0.667 0.908
Zr 0.667 0.333 0.333
Zr 0.667 0.333 0.574
Tl 0.000 0.000 0.766
Tl 0.333 0.667 0.433
Tl 0.667 0.333 0.099
P 0.000 0.000 0.510
P 0.333 0.667 0.177
P 0.667 0.333 0.844

Results
Total moment   0.00 μB per atom
Distance to the lowest polymorph of the same formula   2.91 eV/f.u.
Formation enthalpy at 0 K   -5.3 kJ per mole of atoms
Electronic total energy   -75.3 eV for the cell shown